(1)
CeNdPbI | PBE | relaxed

Values from the calculation:
D(E_F)	6.25	states/eV per cell
density	8.39	g cm⁻³
DFT total energy	-18.39	eV/cell

Cell: 5.572 5.572 5.572 Å, 60.00 60.00 60.00°
Fractional coordinates of all 4 atoms:
Ce 0.000 0.000 0.000
Nd 0.500 0.500 0.500
Pb 0.750 0.750 0.750
I 0.250 0.250 0.250

---

(2)
NpH8Rh2 | PBE | relaxed

Values from the calculation:
D(E_F)	11.61	states/eV per cell
density	9.00	g cm⁻³
DFT total energy	-55.16	eV/cell

Cell: 5.028 5.028 3.713 Å, 91.36 91.36 117.44°
Fractional coordinates of all 11 atoms:
Np 0.000 0.000 0.000
H 0.029 0.311 0.523
H 0.300 0.700 0.000
H 0.311 0.029 0.523
H 0.441 0.441 0.248
H 0.559 0.559 0.752
H 0.689 0.971 0.477
H 0.700 0.300 0.000
H 0.971 0.689 0.477
Rh 0.328 0.672 0.500
Rh 0.672 0.328 0.500

---

(3)
Na2ICl | PBE | relaxed

Values from the calculation:
D(E_F)	0.00	states/eV per cell
density	3.14	g cm⁻³
DFT total energy	-11.40	eV/cell

Cell: 5.379 5.379 5.379 Å, 60.00 60.00 60.00°
Fractional coordinates of all 4 atoms:
Na 0.250 0.250 0.250
Na 0.750 0.750 0.750
I 0.000 0.000 0.000
Cl 0.500 0.500 0.500

---

(4)
Eu2CuO4 | PBE | relaxed

Values from the calculation:
D(E_F)	16.36	states/eV per cell
density	8.02	g cm⁻³
energy above the most stable polymorph in this dataset	0.0395	eV per atom

Cell: 6.759 6.759 6.759 Å, 147.38 147.38 46.80°
Fractional coordinates of all 7 atoms:
Eu 0.140 0.140 0.000
Eu 0.860 0.860 0.000
Cu 0.500 0.500 0.000
O 0.000 0.500 0.500
O 0.326 0.326 0.000
O 0.500 0.000 0.500
O 0.674 0.674 0.000

---

(5)
Y3Ho8Th3 | PBE | relaxed

Values from the calculation:
D(E_F)	21.93	states/eV per cell
density	8.44	g cm⁻³
ΔE_f	0.157	eV/atom

Cell: 9.591 9.591 9.591 Å, 145.82 112.15 78.21°
Fractional coordinates of all 14 atoms:
Y 0.000 0.000 0.000
Y 0.308 0.000 0.308
Y 0.692 0.000 0.692
Ho 0.056 0.397 0.659
Ho 0.066 0.224 0.842
Ho 0.262 0.603 0.659
Ho 0.383 0.224 0.158
Ho 0.617 0.776 0.842
Ho 0.738 0.397 0.341
Ho 0.934 0.776 0.158
Ho 0.944 0.603 0.341
Th 0.314 0.814 0.500
Th 0.500 0.500 0.000
Th 0.686 0.186 0.500

---

(6)
CsFe | PBE | relaxed

Values from the calculation:
D(E_F)	14.26	states/eV per cell
density	2.94	g cm⁻³
energy above the most stable polymorph in this dataset	0.1946	eV per atom
ΔE_f	1.051	eV/atom

Cell: 13.201 13.201 4.242 Å, 90.00 90.00 120.00°
Fractional coordinates of all 12 atoms:
Cs 0.208 0.416 0.250
Cs 0.208 0.792 0.250
Cs 0.416 0.208 0.750
Cs 0.584 0.792 0.250
Cs 0.792 0.208 0.750
Cs 0.792 0.584 0.750
Fe 0.032 0.516 0.750
Fe 0.484 0.516 0.750
Fe 0.484 0.968 0.750
Fe 0.516 0.032 0.250
Fe 0.516 0.484 0.250
Fe 0.968 0.484 0.250

---

(7)
Cu2SnSe | PBE | relaxed

Values from the calculation:
D(E_F)	1.20	states/eV per cell
density	6.03	g cm⁻³
DFT total energy	-30.69	eV/cell

Cell: 6.381 6.381 6.381 Å, 121.70 121.70 87.08°
Fractional coordinates of all 8 atoms:
Cu 0.089 0.625 0.964
Cu 0.375 0.339 0.464
Cu 0.661 0.125 0.036
Cu 0.875 0.911 0.536
Sn 0.250 0.750 0.500
Sn 0.500 0.500 0.000
Se 0.000 0.000 0.000
Se 0.750 0.250 0.500

---

(8)
LaTlAu2 | PBE | relaxed

Values from the calculation:
D(E_F)	2.72	states/eV per cell
density	12.45	g cm⁻³
energy above the most stable polymorph in this dataset	0.1441	eV per atom
ΔE_f	-0.465	eV/atom

Cell: 5.556 5.556 5.020 Å, 116.69 116.69 46.71°
Fractional coordinates of all 4 atoms:
La 0.000 0.000 0.000
Tl 0.232 0.232 0.732
Au 0.488 0.488 0.488
Au 0.757 0.757 0.257

---

(9)
AcCdSi2Pt2 | PBE | relaxed

Values from the calculation:
D(E_F)	2.08	states/eV per cell
density	10.60	g cm⁻³
DFT total energy	-32.27	eV/cell

Cell: 4.220 4.220 7.979 Å, 90.00 90.00 120.00°
Fractional coordinates of all 6 atoms:
Ac 0.000 0.000 0.000
Cd 0.000 0.000 0.500
Si 0.333 0.667 0.728
Si 0.667 0.333 0.272
Pt 0.333 0.667 0.307
Pt 0.667 0.333 0.693

---

(10)
LiCd2MoS | PBE | relaxed

Values from the calculation:
D(E_F)	1.73	states/eV per cell
density	5.97	g cm⁻³
DFT total energy	-15.45	eV/cell

Cell: 4.919 4.919 4.134 Å, 90.00 90.00 90.00°
Fractional coordinates of all 5 atoms:
Li 0.000 0.000 0.000
Cd 0.000 0.500 0.000
Cd 0.500 0.000 0.000
Mo 0.500 0.500 0.500
S 0.000 0.000 0.500

---

(11)
TlRe4As | PBE | relaxed

Values from the calculation:
D(E_F)	2.74	states/eV per cell
density	16.08	g cm⁻³
ΔE_f	0.866	eV/atom

Cell: 5.308 5.308 5.308 Å, 60.00 60.00 60.00°
Fractional coordinates of all 6 atoms:
Tl 0.000 0.000 0.000
Re 0.376 0.376 0.376
Re 0.376 0.376 0.873
Re 0.376 0.873 0.376
Re 0.873 0.376 0.376
As 0.750 0.750 0.750

---

(12)
La3PrP | PBE | relaxed

Values from the calculation:
D(E_F)	9.97	states/eV per cell
density	5.25	g cm⁻³
ΔE_f	-0.444	eV/atom

Cell: 5.711 5.711 5.711 Å, 90.00 90.00 90.00°
Fractional coordinates of all 5 atoms:
La 0.000 0.000 0.500
La 0.000 0.500 0.000
La 0.500 0.000 0.000
Pr 0.500 0.500 0.500
P 0.000 0.000 0.000